The following is a GGA-PBE calculation of a relaxed TlHgF3 crystal, from Alexandria.

The structure in POSCAR format:
```
TlHgF3
1.0
0.0000 6.0217 6.0217
6.0217 0.0000 6.0217
6.0217 6.0217 0.0000
Tl Hg F
4 4 12
Direct
0.0000 0.0000 0.0000
0.0000 0.0000 0.5000
0.0000 0.5000 0.0000
0.5000 0.0000 0.0000
0.0000 0.5000 0.5000
0.5000 0.0000 0.5000
0.5000 0.5000 0.0000
0.5000 0.5000 0.5000
0.0592 0.0592 0.6908
0.0592 0.6908 0.0592
0.0592 0.6908 0.6908
0.3092 0.3092 0.9408
0.3092 0.9408 0.3092
0.3092 0.9408 0.9408
0.6908 0.0592 0.0592
0.6908 0.0592 0.6908
0.6908 0.6908 0.0592
0.9408 0.3092 0.3092
0.9408 0.3092 0.9408
0.9408 0.9408 0.3092
```

Values from the calculation:
The size of the total moment is 0.00 μB/atom. Its total energy is -3.0742 eV per atom. As for the space group: No. 227. Its energy relative to the elements, uncorrected is -1.418 eV per atom. The density is 7.026 g/cm3.